[1]
Li2P2Pd3 | PBE-GGA | optimized geometry

a = 3.6833 Å, b = 5.0474 Å, c = 6.6920 Å
α = 110.23°, β = 90.00°, γ = 111.40°
Closest atoms and distances in Å follow each position.
Atoms (fractional coordinates):
Li 0.8601 0.7202 0.2089  4 P 2.71-2.85, 4 Pd 2.91-2.96
Li 0.1399 0.2798 0.7911  4 P 2.71-2.85, 4 Pd 2.91-2.96
P 0.8469 0.6938 0.7767  5 Pd 2.41-2.47
P 0.1531 0.3062 0.2233  5 Pd 2.41-2.47
Pd 0.5000 0.0000 0.0000  4 P 2.47, 2 Pd 2.74
Pd 0.6291 0.2582 0.4403  3 P 2.41-2.42
Pd 0.3709 0.7418 0.5597  3 P 2.41-2.42

Total magnetic moment   0.0 μB per formula unit
SG   C2/m (12)
Calculated formation energy   -0.551 eV per atom


[2]
Li3P2Pd3 | PBE-GGA | optimized geometry

a = 4.0870 Å, b = 4.8196 Å, c = 13.0493 Å
α = 90.00°, β = 90.00°, γ = 115.09°
Closest atoms and distances in Å follow each position.
Atoms (fractional coordinates):
Li 0.9490 0.8980 0.3994  3 P 2.64-2.71, 5 Pd 2.68-2.83, 2 Li 2.75-2.77
Li 0.0510 0.1020 0.8994  3 P 2.64-2.71, 5 Pd 2.68-2.83, 2 Li 2.75-2.77
Li 0.9490 0.8980 0.1006  3 P 2.64-2.71, 5 Pd 2.68-2.83, 2 Li 2.75-2.77
Li 0.0510 0.1020 0.6006  3 P 2.64-2.71, 5 Pd 2.68-2.83, 2 Li 2.75-2.77
Li 0.7274 0.4548 0.2500  5 Pd 2.60-2.70, 4 P 2.72, 2 Li 2.75
Li 0.2726 0.5452 0.7500  5 Pd 2.60-2.70, 4 P 2.72, 2 Li 2.75
P 0.7415 0.4830 0.8863  4 Pd 2.32-2.42
P 0.2585 0.5170 0.3863  4 Pd 2.32-2.42
P 0.7415 0.4830 0.6137  4 Pd 2.32-2.42
P 0.2585 0.5170 0.1137  4 Pd 2.32-2.42
Pd 0.6378 0.2756 0.4419  3 P 2.41-2.42, 3 Li 2.62-2.68
Pd 0.3622 0.7244 0.9419  3 P 2.41-2.42, 3 Li 2.62-2.68
Pd 0.6378 0.2756 0.0581  3 P 2.41-2.42, 3 Li 2.62-2.68
Pd 0.3622 0.7244 0.5581  3 P 2.41-2.42, 3 Li 2.62-2.68
Pd 0.4298 0.8596 0.2500  2 P 2.32, 1 Li 2.60
Pd 0.5702 0.1404 0.7500  2 P 2.32, 1 Li 2.60

Total magnetic moment   0.0 μB per formula unit
SG   Cmcm (63)
Calculated formation energy   -0.566 eV per atom


[3]
Li5P2Pd5 | PBE-GGA | optimized geometry

a = 4.0109 Å, b = 5.4156 Å, c = 8.4892 Å
α = 72.56°, β = 76.34°, γ = 68.27°
Closest atoms and distances in Å follow each position.
Atoms (fractional coordinates):
Li 0.5000 0.5000 0.5000  6 Pd 2.43-2.47, 2 Li 2.56
Li 0.3277 0.3350 0.0095  3 Pd 2.49-2.63, 1 P 2.54, 3 Li 2.54-2.58
Li 0.4099 0.9233 0.2570  3 Li 2.54-2.80, 2 P 2.63, 4 Pd 2.69-2.78
Li 0.5901 0.0767 0.7430  3 Li 2.54-2.80, 2 P 2.63, 4 Pd 2.69-2.78
Li 0.6723 0.6650 0.9905  3 Pd 2.49-2.63, 1 P 2.54, 3 Li 2.54-2.58
P 0.9162 0.4070 0.7607  5 Pd 2.41-2.66, 3 Li 2.54-2.63
P 0.0838 0.5930 0.2393  5 Pd 2.41-2.66, 3 Li 2.54-2.63
Pd 0.8648 0.7923 0.4782  2 P 2.41-2.66, 4 Li 2.47-2.69
Pd 0.2811 0.6942 0.7437  2 Li 2.43-2.49, 2 P 2.46
Pd 0.7189 0.3058 0.2563  2 Li 2.43-2.49, 2 P 2.46
Pd 0.1352 0.2077 0.5218  2 P 2.41-2.66, 4 Li 2.47-2.69
Pd 0.0000 0.0000 0.0000  2 P 2.49, 4 Li 2.63

Total magnetic moment   0.0 μB per formula unit
SG   C2/m (12)
Calculated formation energy   -0.543 eV per atom